# Li3V4CuO12 | the Alexandria database | GGA+U | relaxed
data_Li3V4CuO12
_cell_length_a 11.078
_cell_length_b 11.289
_cell_length_c 5.725
_cell_angle_alpha 90.00
_cell_angle_beta 119.60
_cell_angle_gamma 90.00
_symmetry_space_group_name_H-M 'C 1 2 1'
_symmetry_Int_Tables_number 5
loop_
_symmetry_equiv_pos_as_xyz
'x,y,z'
'-x,y,-z'
'x+1/2,y+1/2,z'
'-x+1/2,y+1/2,-z'
loop_
_atom_site_label
_atom_site_type_symbol
_atom_site_fract_x
_atom_site_fract_y
_atom_site_fract_z
_atom_site_occupancy
Li1 Li 0.000 0.000 0.000 1
Li2 Li 0.000 0.005 0.500 1
Li3 Li 0.000 0.426 0.500 1
V1 V 0.216 0.802 0.490 1
V2 V 0.217 0.624 0.990 1
Cu1 Cu 0.000 0.417 0.000 1
O1 O 0.109 0.504 0.858 1
O2 O 0.112 0.921 0.360 1
O3 O 0.114 0.346 0.359 1
O4 O 0.116 0.079 0.864 1
O5 O 0.180 0.730 0.730 1
O6 O 0.182 0.696 0.232 1
# Energy (eV per atom): -6.82
# Spin magnetization (μB/f.u.): 0.07
# Volume (Å³/cell): 622.51